Compound: Ca2Mg3NpN6
Source: Alexandria
Functional: PBE-GGA
Structure: optimized geometry

- total energy (eV per atom) = -6.81
- formation energy without anion corrections (eV/atom) = -0.8368

Lattice parameters (Å, degrees): 5.836 10.106 5.499 90.00 111.20 90.00
Space group C2/m (No. 12)
Asymmetric unit:
Ca 0.000 0.168 0.000 x4
Mg 0.000 0.000 0.500 x2
Mg 0.000 0.334 0.500 x4
Np 0.000 0.500 0.000 x2
N 0.210 0.500 0.771 x4
N 0.236 0.350 0.256 x8

---

Compound: Ca3MgNp2N6
Source: Alexandria
Functional: PBE-GGA
Structure: optimized geometry

- total energy (eV per atom) = -8.06
- formation energy without anion corrections (eV/atom) = -1.1122

Lattice parameters (Å, degrees): 14.560 3.490 6.947 90.00 105.38 90.00
Space group C2/m (No. 12)
Asymmetric unit:
Ca 0.000 0.000 0.000 x2
Ca 0.162 0.500 0.337 x4
Mg 0.000 0.000 0.500 x2
Np 0.162 0.500 0.821 x4
N 0.015 0.500 0.752 x4
N 0.162 0.000 0.603 x4
N 0.180 0.000 0.068 x4

---

Compound: CaMgN2O
Source: Alexandria
Functional: PBE-GGA
Structure: optimized geometry

- total energy (eV per atom) = -5.11
- formation energy without anion corrections (eV/atom) = -0.0683

Lattice parameters (Å, degrees): 4.122 4.122 3.940 90.00 90.00 90.00
Space group P4/mmm (No. 123)
Asymmetric unit:
Ca 0.000 0.000 0.000 x1
Mg 0.500 0.500 0.500 x1
N 0.000 0.500 0.500 x2
O 0.500 0.500 0.000 x1

---

Compound: CaMgN2O
Source: Alexandria
Functional: PBE-GGA
Structure: optimized geometry

- total energy (eV per atom) = -4.28
- formation energy without anion corrections (eV/atom) = 0.7630

Lattice parameters (Å, degrees): 4.491 4.491 4.302 90.00 90.00 90.00
Space group P4/mmm (No. 123)
Asymmetric unit:
Ca 0.000 0.000 0.000 x1
Mg 0.500 0.500 0.500 x1
N 0.000 0.500 0.000 x2
O 0.000 0.000 0.500 x1